[1]
The following is a GGA-PBE calculation of a relaxed structure of RePbSe2Br, from Alexandria via LeMat-Bulk.

extended XYZ file:
```
5
Lattice="4.886 0.000 0.000 0.000 4.886 0.000 0.000 0.000 5.336" Properties=species:S:1:pos:R:3 pbc="T T T"
Pb 2.443 2.443 2.668
Se 0.000 2.443 0.000
Se 2.443 0.000 0.000
Re 0.000 0.000 0.000
Br 0.000 0.000 2.668
```

Output
Energy above the lowest structure with this stoichiometry = 0 meV per atom
Raw formation energy = 250 meV/atom
DFT total energy = -23.5 eV/f.u.
SG = No. 123

[2]
The following is a GGA-PBE calculation of a relaxed structure of Re2PbSeBr, from Alexandria via LeMat-Bulk.

extended XYZ file:
```
5
Lattice="4.559 0.000 0.000 0.000 6.615 0.000 0.000 0.000 4.559" Properties=species:S:1:pos:R:3 pbc="T T T"
Se 0.000 0.000 0.000
Pb 0.000 3.308 0.000
Re 0.000 0.000 2.279
Re 2.279 0.000 0.000
Br 2.279 3.308 2.279
```

Output
Raw formation energy = 1516 meV/atom
DFT total energy = -26.2 eV/f.u.
SG = No. 123

[3]
The following is a GGA-PBE calculation of a relaxed structure of RhPbBr2, from Alexandria via LeMat-Bulk.

extended XYZ file:
```
4
Lattice="-2.430 0.213 -2.723 0.493 -3.075 1.915 -6.441 2.679 5.959" Properties=species:S:1:pos:R:3 pbc="T T T"
Pb -2.579 -0.761 1.086
Br -3.592 1.494 3.323
Br -6.070 2.525 5.616
Rh -5.800 0.579 4.066
```

Output
Energy above the lowest structure with this stoichiometry = 286 meV per atom
Raw formation energy = 36 meV/atom
DFT total energy = -14.3 eV/f.u.
SG = No. 65

[4]
The following is a GGA-PBE calculation of a relaxed structure of RhPbBr2, from Alexandria via LeMat-Bulk.

extended XYZ file:
```
4
Lattice="-3.832 2.903 -4.008 -2.262 -2.774 -5.134 0.678 -1.030 6.136" Properties=species:S:1:pos:R:3 pbc="T T T"
Br 0.000 0.000 0.000
Pb -3.047 0.065 -4.571
Br -2.315 -1.870 -1.784
Rh -3.100 0.969 -1.221
```

Output
Energy above the lowest structure with this stoichiometry = 455 meV per atom
Raw formation energy = 205 meV/atom
DFT total energy = -13.6 eV/f.u.
SG = No. 119

[5]
The following is a GGA-PBE calculation of a relaxed structure of RhPbBr2, from Alexandria via LeMat-Bulk.

extended XYZ file:
```
4
Lattice="7.266 0.028 -0.001 6.327 3.574 -0.001 1.617 0.428 4.567" Properties=species:S:1:pos:R:3 pbc="T T T"
Br 12.369 3.278 0.469
Pb 11.407 3.023 3.424
Br 8.829 2.340 1.812
Rh 3.802 1.008 1.141
```

Output
Energy above the lowest structure with this stoichiometry = 60 meV per atom
Raw formation energy = -189 meV/atom
DFT total energy = -15.2 eV/f.u.
SG = No. 12

[6]
The following is a GGA-PBE calculation of a relaxed structure of RhPbBr2, from Alexandria via LeMat-Bulk.

extended XYZ file:
```
4
Lattice="8.961 0.020 0.012 8.206 3.600 0.012 8.206 1.731 3.157" Properties=species:S:1:pos:R:3 pbc="T T T"
Br 0.646 0.136 0.081
Pb 6.343 1.338 0.795
Br 12.040 2.539 1.509
Rh 19.030 4.013 2.386
```

Output
Energy above the lowest structure with this stoichiometry = 233 meV per atom
Raw formation energy = -16 meV/atom
DFT total energy = -14.5 eV/f.u.
SG = No. 166